Entry 1:
VASP calculation (GGA-PBE) on a relaxed structure of Tb4ErIn2.

Spin magnetization, μB per atom: 0.00
DOS(E_F), states/eV/atom: 1.29
Energy of formation from the pure elements, eV per atom: -0.222
Mass density, Mg/m³: 8.235
Excess energy over the best structure of this formula in the dataset, meV per atom: 0
Space-group type: No. 14

a = 12.225 Å, b = 6.340 Å, c = 5.373 Å
α = 90.00°, β = 90.00°, γ = 90.00°
Atoms (fractional coordinates):
1 In 0.070 0.693 0.498
2 In 0.930 0.307 0.502
3 In 0.570 0.807 0.502
4 In 0.430 0.193 0.498
5 Tb 0.838 0.497 0.001
6 Tb 0.670 0.346 0.501
7 Tb 0.830 0.846 0.501
8 Tb 0.662 0.997 0.001
9 Tb 0.338 0.003 0.999
10 Tb 0.170 0.154 0.499
11 Tb 0.330 0.654 0.499
12 Tb 0.162 0.503 0.999
13 Er 0.000 0.000 0.000
14 Er 0.500 0.500 0.000


Entry 2:
VASP calculation (GGA-PBE) on a relaxed structure of Tb3ErIn3.

Spin magnetization, μB per atom: 0.00
DOS(E_F), states/eV/atom: 0.76
Energy of formation from the pure elements, eV per atom: -0.319
Mass density, Mg/m³: 8.387
Excess energy over the best structure of this formula in the dataset, meV per atom: 0
Space-group type: No. 176

a = 5.173 Å, b = 9.347 Å, c = 9.347 Å
α = 120.00°, β = 90.00°, γ = 90.00°
Atoms (fractional coordinates):
1 Tb 0.250 0.768 0.765
2 Tb 0.250 0.235 0.003
3 Tb 0.250 0.997 0.232
4 Tb 0.750 0.232 0.235
5 Tb 0.750 0.765 0.997
6 Tb 0.750 0.003 0.768
7 Er 0.250 0.667 0.333
8 Er 0.750 0.333 0.667
9 In 0.750 0.616 0.544
10 In 0.750 0.456 0.072
11 In 0.750 0.928 0.384
12 In 0.250 0.384 0.456
13 In 0.250 0.544 0.928
14 In 0.250 0.072 0.616